Here is Sb2TeOsC after structural relaxation from Alexandria via LeMat-Bulk. Energies are from GGA-PBE.

## Properties
total DFT energy (no corrections) = -24.8 eV per formula unit
M_tot = 0.000 μB/cell
excess energy over the best structure of this formula in the dataset = 0 meV/atom

Lattice parameters (Å, degrees): 4.569 4.569 4.552 90.00 90.00 90.00
Fractional positions:
Sb: 0.000 0.500 0.000
Sb: 0.500 0.000 0.000
C: 0.000 0.000 0.000
Te: 0.000 0.000 0.500
Os: 0.500 0.500 0.500

=====

Here is RbGaPb after structural relaxation from Alexandria via LeMat-Bulk. Energies are from GGA-PBE.

## Properties
total DFT energy (no corrections) = -7.9 eV per formula unit
M_tot = 0.000 μB/cell
DFT formation energy = -0.060 eV per atom

Lattice parameters (Å, degrees): 16.538 7.536 7.536 145.24 150.98 29.02
Fractional positions:
Pb: 0.057 0.316 0.684
Pb: 0.355 0.606 0.394
Ga: 0.509 0.823 0.177
Ga: 0.738 0.078 0.922
Rb: 0.281 0.394 0.606
Rb: 0.815 0.272 0.728

=====

Here is EuPaTlSn after structural relaxation from Alexandria via LeMat-Bulk. Energies are from GGA-PBE.

## Properties
total DFT energy (no corrections) = -26.4 eV per formula unit
M_tot = 6.200 μB/cell
DFT formation energy = -0.076 eV per atom

Lattice parameters (Å, degrees): 5.443 5.443 5.443 60.00 60.00 60.00
Last column: magnetic moment on the atom in μB.
Fractional positions:
Eu: 0.000 0.000 0.000  -6.82
Tl: 0.250 0.250 0.250  0.03
Pa: 0.500 0.500 0.500  0.79
Sn: 0.750 0.750 0.750  0.03

=====

Here is NaIn3Au3 after structural relaxation from Alexandria via LeMat-Bulk. Energies are from GGA-PBE.

## Properties
total DFT energy (no corrections) = -19.6 eV per formula unit
M_tot = 0.000 μB/cell
DFT formation energy = -0.040 eV per atom
excess energy over the best structure of this formula in the dataset = 196 meV/atom

Lattice parameters (Å, degrees): 7.672 7.672 7.672 90.00 90.00 90.00
Fractional positions:
Na: 0.500 0.500 0.500
Na: 0.000 0.000 0.000
Au: 0.000 0.250 0.500
Au: 0.000 0.750 0.500
Au: 0.500 0.000 0.750
Au: 0.750 0.500 0.000
Au: 0.500 0.000 0.250
Au: 0.250 0.500 0.000
In: 0.250 0.000 0.500
In: 0.000 0.500 0.250
In: 0.500 0.750 0.000
In: 0.750 0.000 0.500
In: 0.000 0.500 0.750
In: 0.500 0.250 0.000